## 1
Material: TbPrPu
Method: DFT, GGA-PBE
State: relaxed

Cell: 6.310 10.638 22.363 Å, 90.00 90.00 90.00°
Space group Fddd (No. 70, origin choice 2)
Asymmetric unit:
Tb: 0.125 0.125 0.047 (multiplicity 16)
Pr: 0.125 0.296 0.625 (multiplicity 16)
Pu: 0.125 0.125 0.500 (multiplicity 16)

Calculated values
* theoretical density: 9.625 g/cm3
* total magnetization: 6.1 μB per formula unit
* DOS at the Fermi energy: 8.1 states/eV/f.u.

=====

## 2
Material: TbPrPu
Method: DFT, GGA-PBE
State: relaxed

Cell: 3.563 3.563 15.070 Å, 90.00 90.00 90.00°
Space group I4mm (No. 107)
Asymmetric unit:
Tb: 0.000 0.000 0.000 (multiplicity 2)
Pr: 0.000 0.000 0.674 (multiplicity 2)
Pu: 0.000 0.000 0.340 (multiplicity 2)

Calculated values
* theoretical density: 9.442 g/cm3
* total magnetization: 6.2 μB per formula unit
* DOS at the Fermi energy: 7.0 states/eV/f.u.

=====

## 3
Material: TbPrPu
Method: DFT, GGA-PBE
State: relaxed

Cell: 5.7209 5.7209 3.3379 Å, 90.00 90.00 120.00°
Space group P-6m2 (No. 187)
Asymmetric unit:
Tb: 0.0000 0.0000 0.0000 (multiplicity 1)
Pr: 0.6667 0.3333 0.0000 (multiplicity 1)
Pu: 0.3333 0.6667 0.5000 (multiplicity 1)

Calculated values
* theoretical density: 9.545 g/cm3
* total magnetization: 5.7 μB per formula unit
* DOS at the Fermi energy: 9.6 states/eV/f.u.

=====

Stability, descending: 2, 1, 3

=====

## 1
Material: PrPuTe2
Method: DFT, GGA-PBE
State: relaxed

Cell: 4.3315 4.3315 23.6464 Å, 90.00 90.00 120.00°
Space group R3m (No. 160, hexagonal axes)
Asymmetric unit:
Pr: 0.0000 0.0000 0.0000 (multiplicity 3)
Pu: 0.0000 0.0000 0.1725 (multiplicity 3)
Te: 0.0000 0.0000 0.5826 (multiplicity 3)
Te: 0.0000 0.0000 0.7558 (multiplicity 3)

Calculated values
* theoretical density: 8.299 g/cm3
* total magnetization: 5.4 μB per formula unit
* DOS at the Fermi energy: 10.9 states/eV/f.u.

=====

## 2
Material: PrPuTe2
Method: DFT, GGA-PBE
State: relaxed

Cell: 7.747 7.747 7.747 Å, 90.00 90.00 90.00°
Space group Fm-3m (No. 225)
Asymmetric unit:
Pr: 0.000 0.000 0.000 (multiplicity 4)
Pu: 0.000 0.000 0.500 (multiplicity 4)
Te: 0.250 0.250 0.250 (multiplicity 8)

Calculated values
* theoretical density: 9.144 g/cm3
* total magnetization: 6.9 μB per formula unit
* DOS at the Fermi energy: 5.8 states/eV/f.u.

=====

## 3
Material: PrPuTe2
Method: DFT, GGA-PBE
State: relaxed

Cell: 4.4639 4.4639 22.1455 Å, 90.00 90.00 120.00°
Space group R-3m (No. 166, hexagonal axes)
Asymmetric unit:
Pr: 0.0000 0.0000 0.0000 (multiplicity 3)
Pu: 0.0000 0.0000 0.5000 (multiplicity 3)
Te: 0.0000 0.0000 0.2472 (multiplicity 6)

Calculated values
* theoretical density: 8.344 g/cm3
* total magnetization: 5.9 μB per formula unit
* DOS at the Fermi energy: 11.3 states/eV/f.u.

=====

Stability, descending: 3, 1, 2

=====

## 1
Material: PrPuTe3
Method: DFT, GGA-PBE
State: relaxed

Cell: 8.340 4.458 17.417 Å, 90.00 90.00 90.00°
Space group Pnma (No. 62)
Asymmetric unit:
Pr: 0.132 0.250 0.202 (multiplicity 4)
Pu: 0.226 0.750 0.461 (multiplicity 4)
Te: 0.004 0.250 0.392 (multiplicity 4)
Te: 0.121 0.750 0.064 (multiplicity 4)
Te: 0.157 0.250 0.785 (multiplicity 4)

Calculated values
* theoretical density: 7.875 g/cm3
* total magnetization: 5.0 μB per formula unit
* DOS at the Fermi energy: 12.0 states/eV/f.u.

=====

## 2
Material: PrPuTe3
Method: DFT, GGA-PBE
State: relaxed

Cell: 7.6144 7.6144 23.4032 Å, 90.00 90.00 120.00°
Space group R32 (No. 155, hexagonal axes)
Asymmetric unit:
Pr: 0.0000 0.0000 0.1566 (multiplicity 6)
Pu: 0.0000 0.0000 0.3407 (multiplicity 6)
Te: 0.0089 0.3128 0.2502 (multiplicity 18)

Calculated values
* theoretical density: 6.509 g/cm3
* total magnetization: 5.0 μB per formula unit
* DOS at the Fermi energy: 14.2 states/eV/f.u.

=====

Stability, descending: 1, 2

=====

## 1
Material: PrPuTh2
Method: DFT, GGA-PBE
State: relaxed

Cell: 3.566 3.566 9.799 Å, 90.00 90.00 90.00°
Space group P4/mmm (No. 123)
Asymmetric unit:
Pr: 0.000 0.000 0.000 (multiplicity 1)
Pu: 0.000 0.000 0.500 (multiplicity 1)
Th: 0.500 0.500 0.272 (multiplicity 2)

Calculated values
* theoretical density: 11.313 g/cm3
* total magnetization: 5.2 μB per formula unit
* DOS at the Fermi energy: 10.3 states/eV/f.u.

=====

## 2
Material: PrPuTh2
Method: DFT, GGA-PBE
State: relaxed

Cell: 3.4800 3.4800 37.0196 Å, 90.00 90.00 120.00°
Space group R-3m (No. 166, hexagonal axes)
Asymmetric unit:
Pr: 0.0000 0.0000 0.0000 (multiplicity 3)
Pu: 0.0000 0.0000 0.5000 (multiplicity 3)
Th: 0.0000 0.0000 0.0908 (multiplicity 6)

Calculated values
* theoretical density: 10.893 g/cm3
* total magnetization: 5.4 μB per formula unit
* DOS at the Fermi energy: 11.9 states/eV/f.u.

=====

Stability, descending: 1, 2